Model one:
## TlPF2 (GGA-PBE)

Data for a relaxed TlPF2 crystal.

Lattice parameters (Å, degrees): 8.4678 8.4678 8.4678 21.34 21.34 21.34
Sites, in units of the cell vectors:
P1 0.0000 0.0000 0.0000
Tl1 0.5000 0.5000 0.5000
F1 0.9275 0.9275 0.9275
F2 0.0725 0.0725 0.0725

As for the total magnetic moment: 0.0000 μB/atom. Its calculated density is 6.44 g/cm3. The density of states at the Fermi level comes out at 0.8 states/eV/cell. The crystal system is trigonal.

Model two:
## TlPF2 (GGA-PBE)

Data for a relaxed TlPF2 crystal.

Lattice parameters (Å, degrees): 5.5876 5.5876 5.5876 41.10 41.10 41.10
Sites, in units of the cell vectors:
P1 0.5000 0.5000 0.5000
Tl1 0.0000 0.0000 0.0000
F1 0.8044 0.8044 0.8044
F2 0.1956 0.1956 0.1956

As for the total magnetic moment: 0.0000 μB/atom. Its calculated density is 6.67 g/cm3. The density of states at the Fermi level comes out at 0.8 states/eV/cell. The crystal system is trigonal.

Most stable pick: model one. Distance to second place: 33.6 kJ/mol of atoms.

Model one:
## TlPF2 (GGA-PBE)

Data for a relaxed TlPF2 crystal.

Lattice parameters (Å, degrees): 4.5322 4.5322 4.5322 60.00 60.00 60.00
Sites, in units of the cell vectors:
P1 0.0000 0.0000 0.0000
Tl1 0.5000 0.5000 0.5000
F1 0.2500 0.2500 0.2500
F2 0.7500 0.7500 0.7500

As for the total magnetic moment: 0.4598 μB/atom. Its calculated density is 6.90 g/cm3. The density of states at the Fermi level comes out at 2.1 states/eV/cell. The crystal system is cubic.

Model two:
## TlPF2 (GGA-PBE)

Data for a relaxed TlPF2 crystal.

Lattice parameters (Å, degrees): 4.0992 4.0992 8.3461 75.78 75.78 90.00
Sites, in units of the cell vectors:
P1 0.5000 0.5000 0.0000
P2 0.2500 0.7500 0.5000
Tl1 0.0000 0.0000 0.0000
Tl2 0.7500 0.2500 0.5000
F1 0.5587 0.1250 0.2500
F2 0.1913 0.6250 0.2500
F3 0.3750 0.4413 0.7500
F4 0.8750 0.8087 0.7500

As for the total magnetic moment: 0.0000 μB/atom. Its calculated density is 6.90 g/cm3. The density of states at the Fermi level comes out at 2.3 states/eV/cell. The crystal system is tetragonal.

Most stable pick: model two. Distance to second place: 31.0 kJ/mol of atoms.